CrAgW2 | the Alexandria database | PBE-GGA | optimized geometry; symmetry = I4/mmm, No. 139; excess energy over the best structure of this formula in the dataset = 0.96 eV/f.u.; mass density = 14240 kg/m3; calculated formation energy = 0.627 eV/atom
1.0
-1.233 4.747 -0.205
-3.672 1.067 3.077
4.276 -2.348 0.546
Ag Cr W
1 1 2
Cartesian
-0.925 0.813 2.530
0.295 2.653 0.889
0.000 0.000 0.000
-2.453 2.907 1.436


KNaZn2Ga | the Alexandria database | PBE-GGA | optimized geometry; symmetry = P4/mmm, No. 123; mass density = 3041 kg/m3; calculated formation energy = 0.087 eV/atom
1.0
-2.884 4.151 -0.261
-3.651 -2.679 -2.259
-2.203 -1.216 5.002
Na Zn K Ga
1 2 1 1
Cartesian
-1.101 -0.608 2.501
-1.826 -1.340 -1.130
-1.442 2.075 -0.131
-4.369 0.128 1.241
0.000 0.000 0.000


NaSr2Re | the Alexandria database | PBE-GGA | optimized geometry; symmetry = Fm-3m, No. 225; excess energy over the best structure of this formula in the dataset = 0.00 eV/f.u.; mass density = 5267 kg/m3; calculated formation energy = 0.877 eV/atom
1.0
-1.430 -1.095 5.255
-0.991 4.168 3.535
-5.182 0.998 1.734
Re Na Sr
1 1 2
Cartesian
-3.801 2.036 5.262
0.000 0.000 0.000
-1.901 1.018 2.631
-5.702 3.054 7.893


Ca2TcN | the Alexandria database | PBE-GGA | optimized geometry; symmetry = I-42d, No. 122; formation energy from raw total energies = -0.237 eV per atom; mass density = 3424 kg/m3
1.0
-2.280 9.587 -0.076
-6.306 -1.558 -7.411
-5.700 3.690 -2.478
Ca Tc N
4 2 2
Cartesian
-3.222 4.969 -1.580
-6.068 2.898 -5.275
-8.646 5.494 -6.020
-10.636 10.077 -7.056
0.000 0.000 0.000
-6.136 8.646 -3.149
-4.293 4.014 -3.743
-8.150 3.073 -6.816


MoP2Br | the Alexandria database | PBE-GGA | optimized geometry; symmetry = Cmmm, No. 65; excess energy over the best structure of this formula in the dataset = 3.71 eV/f.u.; formation energy from raw total energies = 0.813 eV per atom; mass density = 5832 kg/m3
1.0
4.899 0.020 0.000
-2.430 4.253 0.000
0.000 0.000 3.242
Br Mo P
1 1 2
Cartesian
2.449 0.010 1.621
-1.215 2.127 1.621
0.000 0.000 0.000
1.234 2.137 0.000


ZnCoSi | the Alexandria database | PBE-GGA | optimized geometry; symmetry = P-6m2, No. 187; excess energy over the best structure of this formula in the dataset = 0.25 eV/f.u.; formation energy from raw total energies = -0.083 eV per atom; mass density = 6597 kg/m3
1.0
-2.019 -1.541 -2.961
1.770 -2.333 2.577
-2.403 -0.009 1.643
Co Si Zn
1 1 1
Cartesian
-0.401 -0.001 0.274
-1.155 -1.806 -0.842
-1.096 -2.075 1.827